VASP calculation (PBE) on a geometry-optimized La3PrN2 structure.

Geometry as extended XYZ:
```
12
Lattice="-2.199 -2.934 0.358 -0.205 -0.621 -6.353 9.846 -7.332 0.399" Properties=species:S:1:pos:R:3 pbc="T T T"
Pr -1.202 -1.778 -2.997
Pr 4.923 -3.666 0.200
La 7.457 -5.824 -1.916
La 0.000 0.000 0.000
La 2.184 -2.129 -4.038
La 3.721 -5.443 -2.798
La 5.966 -7.386 -4.925
La 1.476 -3.501 -0.671
N 7.425 -7.946 -0.549
N 6.073 -5.040 -3.999
N 3.568 -2.913 -1.954
N 0.017 -2.941 -5.047
```

DFT total energy in eV for the cell shown: -82.53
Total magnetization in μB per atom: 0.00
Crystal system: orthorhombic
SG: Pnnm
Formation energy without anion corrections in kJ/mol of formula units: -488